[1]
! Re4Se7I, optimized geometry, DFT PBE-GGA; values from VASP
&SYSTEM
  ibrav = 0, nat = 24, ntyp = 3
/
ATOMIC_SPECIES
Re 186.21 Re.upf
Se 78.96 Se.upf
I 126.90 I.upf
ATOMIC_POSITIONS crystal
Re 0.513 0.721 0.870
Re 0.013 0.769 0.237
Re 0.513 0.230 0.263
Re 0.013 0.279 0.630
Re 0.013 0.279 0.370
Re 0.513 0.721 0.130
Re 0.013 0.770 0.763
Re 0.513 0.231 0.737
Se 0.013 0.605 0.109
Se 0.513 0.394 0.391
Se 0.513 0.396 0.861
Se 0.013 0.605 0.639
Se 0.013 0.604 0.361
Se 0.513 0.395 0.139
Se 0.513 0.888 0.737
Se 0.013 0.113 0.763
Se 0.013 0.112 0.237
Se 0.513 0.887 0.263
Se 0.513 0.886 0.000
Se 0.013 0.114 0.500
Se 0.013 0.606 0.891
Se 0.513 0.395 0.609
I 0.513 0.812 0.500
I 0.013 0.188 0.000
CELL_PARAMETERS angstrom
-3.068 -1.217 -3.405
5.471 -4.746 -3.234
-4.995 -11.668 8.671
! Formation energy from raw total energies ... 0.2343 eV per atom
! DOS(E_F) ... 0.579 states/eV/atom


[2]
! Si2AgOsF, optimized geometry, DFT PBE-GGA; values from VASP
&SYSTEM
  ibrav = 0, nat = 5, ntyp = 4
/
ATOMIC_SPECIES
Si 28.09 Si.upf
Os 190.23 Os.upf
Ag 107.87 Ag.upf
F 19.00 F.upf
ATOMIC_POSITIONS crystal
Si 0.000 0.000 0.500
Si 0.500 0.000 0.000
Os 0.000 0.500 0.000
Ag 0.500 0.500 0.500
F 0.000 0.000 0.000
CELL_PARAMETERS angstrom
4.428 0.000 0.000
0.000 4.082 0.000
0.000 0.000 4.428
! Formation energy from raw total energies ... 0.8898 eV per atom
! DOS(E_F) ... 0.957 states/eV/atom


[3]
! TbCeSnHg, optimized geometry, DFT PBE-GGA; values from VASP
&SYSTEM
  ibrav = 0, nat = 4, ntyp = 4
/
ATOMIC_SPECIES
Tb 158.93 Tb.upf
Ce 140.12 Ce.upf
Sn 118.71 Sn.upf
Hg 200.59 Hg.upf
ATOMIC_POSITIONS crystal
Tb 0.000 0.000 0.854
Ce 0.000 0.000 0.360
Sn 0.500 0.500 0.101
Hg 0.500 0.500 0.613
CELL_PARAMETERS angstrom
-0.187 2.103 -2.795
-0.297 -2.798 -2.086
-8.661 0.311 0.815
! ΔE to the lowest computed polymorph ... 0.21 kJ/mol of atoms
! Formation energy from the elements ... -0.51 eV per atom
! DOS(E_F) ... 1.867 states/eV/atom


[4]
! BaLiMgBi2, optimized geometry, DFT PBE-GGA; values from VASP
&SYSTEM
  ibrav = 0, nat = 5, ntyp = 4
/
ATOMIC_SPECIES
Ba 137.33 Ba.upf
Li 6.94 Li.upf
Mg 24.30 Mg.upf
Bi 208.98 Bi.upf
ATOMIC_POSITIONS crystal
Ba 0.000 0.000 0.000
Li 0.250 0.750 0.500
Mg 0.750 0.250 0.500
Bi 0.624 0.624 0.249
Bi 0.376 0.376 0.751
CELL_PARAMETERS angstrom
-3.932 2.050 -1.980
1.740 -0.944 -4.434
-2.014 -6.479 3.248
! Formation energy from the elements ... -0.61 eV per atom
! DOS(E_F) ... 0.607 states/eV/atom


[5]
! BaIrPb, optimized geometry, DFT PBE-GGA; values from VASP
&SYSTEM
  ibrav = 0, nat = 3, ntyp = 3
/
ATOMIC_SPECIES
Pb 207.20 Pb.upf
Ir 192.22 Ir.upf
Ba 137.33 Ba.upf
ATOMIC_POSITIONS crystal
Pb 0.500 0.500 0.500
Ir 0.000 0.000 0.000
Ba 0.750 0.750 0.750
CELL_PARAMETERS angstrom
-4.750 1.147 1.841
-2.010 -2.768 3.946
-0.517 2.176 4.719
! Formation energy from the elements ... 0.90 eV per atom
! DOS(E_F) ... 0.845 states/eV/atom


[6]
! ZnRe2Pt, optimized geometry, DFT PBE-GGA; values from VASP
&SYSTEM
  ibrav = 0, nat = 4, ntyp = 3
/
ATOMIC_SPECIES
Pt 195.08 Pt.upf
Re 186.21 Re.upf
Zn 65.41 Zn.upf
ATOMIC_POSITIONS crystal
Pt 0.000 0.500 0.500
Re 0.000 0.000 0.000
Re 0.500 0.500 0.000
Zn 0.500 0.000 0.500
CELL_PARAMETERS angstrom
-3.607 -2.931 -1.825
0.405 0.272 4.969
-1.707 2.085 0.025
! Formation energy from the elements ... 0.20 eV per atom
! DOS(E_F) ... 0.995 states/eV/atom


[7]
! AcGaPb, optimized geometry, DFT PBE-GGA; values from VASP
&SYSTEM
  ibrav = 0, nat = 6, ntyp = 3
/
ATOMIC_SPECIES
Ac 227.00 Ac.upf
Ga 69.72 Ga.upf
Pb 207.20 Pb.upf
ATOMIC_POSITIONS crystal
Ac 0.609 0.895 0.791
Ac 0.391 0.105 0.209
Ga 0.203 0.462 0.923
Ga 0.797 0.538 0.077
Pb 0.905 0.294 0.589
Pb 0.095 0.706 0.411
CELL_PARAMETERS angstrom
-3.597 -2.127 1.662
2.894 -3.151 2.232
0.972 7.875 4.643
! ΔE to the lowest computed polymorph ... 3.03 kJ/mol of atoms
! Formation energy from the elements ... -0.48 eV per atom
! DOS(E_F) ... 0.402 states/eV/atom


[8]
! LaHCl2, optimized geometry, DFT PBE-GGA; values from VASP
&SYSTEM
  ibrav = 0, nat = 4, ntyp = 3
/
ATOMIC_SPECIES
H 1.01 H.upf
Cl 35.45 Cl.upf
La 138.91 La.upf
ATOMIC_POSITIONS crystal
H 0.500 0.500 0.500
Cl 0.910 0.910 0.910
Cl 0.090 0.090 0.090
La 0.000 0.000 0.000
CELL_PARAMETERS angstrom
7.782 2.714 5.302
8.048 -1.790 5.297
9.619 0.566 1.785
! DOS(E_F) ... 0.232 states/eV/atom
! E ... -3.39 eV per atom


[9]
! Ag2Sn2Br7, optimized geometry, DFT PBE-GGA; values from VASP
&SYSTEM
  ibrav = 0, nat = 11, ntyp = 3
/
ATOMIC_SPECIES
Ag 107.87 Ag.upf
Sn 118.71 Sn.upf
Br 79.90 Br.upf
ATOMIC_POSITIONS crystal
Ag 0.368 0.276 0.276
Ag 0.632 0.724 0.724
Sn 0.000 0.321 0.679
Sn 0.000 0.679 0.321
Br 0.786 0.977 0.599
Br 0.214 0.401 0.023
Br 0.214 0.023 0.401
Br 0.786 0.599 0.977
Br 0.500 0.000 0.000
Br 0.264 0.575 0.575
Br 0.736 0.425 0.425
CELL_PARAMETERS angstrom
7.704 0.035 0.040
-0.536 7.729 -1.410
-0.536 -2.426 7.472
! ΔE to the lowest computed polymorph ... 0.00 kJ/mol of atoms
! Formation energy from raw total energies ... -0.5006 eV per atom
! DOS(E_F) ... 0.357 states/eV/atom


[10]
! Dy3AlCo, optimized geometry, DFT PBE-GGA; values from VASP
&SYSTEM
  ibrav = 0, nat = 10, ntyp = 3
/
ATOMIC_SPECIES
Dy 162.50 Dy.upf
Al 26.98 Al.upf
Co 58.93 Co.upf
ATOMIC_POSITIONS crystal
Dy 0.543 0.941 0.665
Dy 0.543 0.345 0.937
Dy 0.043 0.196 0.463
Dy 0.043 0.664 0.879
Dy 0.543 0.508 0.412
Dy 0.543 0.921 0.163
Al 0.043 0.762 0.379
Al 0.043 0.116 0.974
Co 0.543 0.656 0.812
Co 0.043 0.435 0.191
CELL_PARAMETERS angstrom
-3.536 2.943 2.029
-1.981 -5.482 4.499
4.637 2.905 3.867
! ΔE to the lowest computed polymorph ... 7.14 kJ/mol of atoms
! Formation energy from the elements ... -0.16 eV per atom
! DOS(E_F) ... 0.981 states/eV/atom


[11]
! CsZrNbAg2, optimized geometry, DFT PBE-GGA; values from VASP
&SYSTEM
  ibrav = 0, nat = 5, ntyp = 4
/
ATOMIC_SPECIES
Cs 132.91 Cs.upf
Nb 92.91 Nb.upf
Zr 91.22 Zr.upf
Ag 107.87 Ag.upf
ATOMIC_POSITIONS crystal
Cs 0.500 0.500 0.500
Nb 0.000 0.000 0.000
Zr 0.000 0.500 0.000
Ag 0.000 0.000 0.500
Ag 0.500 0.000 0.000
CELL_PARAMETERS angstrom
-1.598 -1.894 5.004
-2.690 -3.610 -2.225
4.436 -3.388 0.134
! Formation energy from the elements ... 0.90 eV per atom
! DOS(E_F) ... 0.911 states/eV/atom


[12]
! VTcCl, optimized geometry, DFT PBE-GGA; values from VASP
&SYSTEM
  ibrav = 0, nat = 12, ntyp = 3
/
ATOMIC_SPECIES
Cl 35.45 Cl.upf
Tc 98.00 Tc.upf
V 50.94 V.upf
ATOMIC_POSITIONS crystal
Cl 0.353 0.816 0.189
Cl 0.647 0.816 0.811
Cl 0.353 0.316 0.689
Cl 0.647 0.316 0.311
Tc 0.927 0.614 0.236
Tc 0.073 0.614 0.764
Tc 0.927 0.114 0.736
Tc 0.073 0.114 0.264
V 0.798 0.051 0.108
V 0.202 0.051 0.892
V 0.798 0.551 0.608
V 0.202 0.551 0.392
CELL_PARAMETERS angstrom
-7.237 9.420 1.385
-1.407 -0.489 -4.027
-2.701 -3.039 1.313
! ΔE to the lowest computed polymorph ... 0.99 kJ/mol of atoms
! Formation energy from raw total energies ... -0.4089 eV per atom
! DOS(E_F) ... 0.442 states/eV/atom


[13]
! Na4BS4, optimized geometry, DFT PBE-GGA; values from VASP
&SYSTEM
  ibrav = 0, nat = 9, ntyp = 3
/
ATOMIC_SPECIES
Na 22.99 Na.upf
B 10.81 B.upf
S 32.06 S.upf
ATOMIC_POSITIONS crystal
Na 0.793 0.586 0.828
Na 0.207 0.414 0.172
Na 0.621 0.172 0.586
Na 0.379 0.828 0.414
B 0.000 0.000 0.000
S 0.783 0.276 0.159
S 0.217 0.724 0.841
S 0.942 0.841 0.276
S 0.058 0.159 0.724
CELL_PARAMETERS angstrom
-2.972 2.566 -3.488
0.949 -2.287 -6.445
-6.153 -2.994 -0.913
! ΔE to the lowest computed polymorph ... 29.37 kJ/mol of atoms
! Formation energy from raw total energies ... -0.5038 eV per atom
! DOS(E_F) ... 0.294 states/eV/atom


[14]
! Cu2RhSe, optimized geometry, DFT PBE-GGA; values from VASP
&SYSTEM
  ibrav = 0, nat = 4, ntyp = 3
/
ATOMIC_SPECIES
Cu 63.55 Cu.upf
Rh 102.91 Rh.upf
Se 78.96 Se.upf
ATOMIC_POSITIONS crystal
Cu 0.007 0.007 0.047
Cu 0.257 0.257 0.211
Rh 0.485 0.485 0.562
Se 0.752 0.752 0.680
CELL_PARAMETERS angstrom
4.632 -0.034 0.126
3.482 3.055 0.126
1.319 0.491 4.069
! Formation energy from raw total energies ... 0.0701 eV per atom
! DOS(E_F) ... 0.624 states/eV/atom


[15]
! KNiOs, optimized geometry, DFT PBE-GGA; values from VASP
&SYSTEM
  ibrav = 0, nat = 3, ntyp = 3
/
ATOMIC_SPECIES
K 39.10 K.upf
Ni 58.69 Ni.upf
Os 190.23 Os.upf
ATOMIC_POSITIONS crystal
K 0.750 0.750 0.750
Ni 0.000 0.000 0.000
Os 0.500 0.500 0.500
CELL_PARAMETERS angstrom
4.640 0.000 0.000
2.320 4.018 0.000
2.320 1.339 3.789
! ΔE to the lowest computed polymorph ... 202.96 kJ/mol of atoms
! Formation energy from the elements ... 2.78 eV per atom
! DOS(E_F) ... 1.087 states/eV/atom


[16]
! As2PIr, optimized geometry, DFT PBE-GGA; values from VASP
&SYSTEM
  ibrav = 0, nat = 4, ntyp = 3
/
ATOMIC_SPECIES
As 74.92 As.upf
Ir 192.22 Ir.upf
P 30.97 P.upf
ATOMIC_POSITIONS crystal
As 0.000 0.067 0.067
As 0.000 0.433 0.433
Ir 0.500 0.250 0.250
P 0.500 0.750 0.750
CELL_PARAMETERS angstrom
3.909 0.000 0.000
0.000 4.965 0.019
0.000 2.893 4.035
! Formation energy from the elements ... -0.04 eV per atom
! DOS(E_F) ... 0.722 states/eV/atom


[17]
! LaEu2Y, optimized geometry, DFT PBE-GGA; values from VASP
&SYSTEM
  ibrav = 0, nat = 4, ntyp = 3
/
ATOMIC_SPECIES
Eu 151.96 Eu.upf
Y 88.91 Y.upf
La 138.91 La.upf
ATOMIC_POSITIONS crystal
Eu 0.748 0.748 0.756
Eu 0.252 0.252 0.244
Y 0.000 0.000 0.000
La 0.500 0.500 0.500
CELL_PARAMETERS angstrom
3.730 0.000 0.000
1.865 3.230 0.000
1.865 1.077 12.383
! ΔE to the lowest computed polymorph ... 0.00 kJ/mol of atoms
! Formation energy from the elements ... 0.08 eV per atom
! DOS(E_F) ... 1.402 states/eV/atom


[18]
! Dy3TmNi, optimized geometry, DFT PBE-GGA; values from VASP
&SYSTEM
  ibrav = 0, nat = 10, ntyp = 3
/
ATOMIC_SPECIES
Dy 162.50 Dy.upf
Tm 168.93 Tm.upf
Ni 58.69 Ni.upf
ATOMIC_POSITIONS crystal
Dy 0.444 0.958 0.155
Dy 0.769 0.707 0.755
Dy 0.098 0.168 0.637
Dy 0.990 0.106 0.914
Dy 0.776 0.054 0.395
Dy 0.438 0.613 0.511
Tm 0.116 0.499 0.269
Tm 0.222 0.560 0.996
Ni 0.776 0.325 0.122
Ni 0.433 0.346 0.788
CELL_PARAMETERS angstrom
-2.747 -2.314 -0.113
1.654 -4.926 3.506
-6.418 4.348 9.858
! ΔE to the lowest computed polymorph ... 0.00 kJ/mol of atoms
! Formation energy from the elements ... -0.18 eV per atom
! DOS(E_F) ... 1.341 states/eV/atom


[19]
! Pb4SeS3, optimized geometry, DFT PBE-GGA; values from VASP
&SYSTEM
  ibrav = 0, nat = 8, ntyp = 3
/
ATOMIC_SPECIES
Pb 207.20 Pb.upf
S 32.06 S.upf
Se 78.96 Se.upf
ATOMIC_POSITIONS crystal
Pb 0.874 0.874 0.874
Pb 0.126 0.126 0.126
Pb 0.377 0.377 0.377
Pb 0.623 0.623 0.623
S 0.248 0.248 0.248
S 0.500 0.500 0.500
S 0.752 0.752 0.752
Se 0.000 0.000 0.000
CELL_PARAMETERS angstrom
-4.506 9.729 -9.295
-5.456 6.210 -11.533
-8.215 7.708 -8.628
! ΔE to the lowest computed polymorph ... 0.00 kJ/mol of atoms
! Formation energy from raw total energies ... -0.5445 eV per atom
! DOS(E_F) ... 0.000 states/eV/atom


[20]
! BaNiHgC2, optimized geometry, DFT PBE-GGA; values from VASP
&SYSTEM
  ibrav = 0, nat = 5, ntyp = 4
/
ATOMIC_SPECIES
Ni 58.69 Ni.upf
C 12.01 C.upf
Hg 200.59 Hg.upf
Ba 137.33 Ba.upf
ATOMIC_POSITIONS crystal
Ni 0.000 0.000 0.000
C 0.000 0.000 0.500
C 0.500 0.000 0.000
Hg 0.000 0.500 0.000
Ba 0.500 0.500 0.500
CELL_PARAMETERS angstrom
4.273 0.000 0.000
0.000 4.954 0.000
0.000 0.000 4.273
! Formation energy from the elements ... 1.42 eV per atom
! DOS(E_F) ... 0.746 states/eV/atom


[21]
! HoTm2Au, optimized geometry, DFT PBE-GGA; values from VASP
&SYSTEM
  ibrav = 0, nat = 4, ntyp = 3
/
ATOMIC_SPECIES
Tm 168.93 Tm.upf
Au 196.97 Au.upf
Ho 164.93 Ho.upf
ATOMIC_POSITIONS crystal
Tm 0.000 0.000 0.794
Tm 0.000 0.000 0.206
Au 0.500 0.500 0.000
Ho 0.500 0.500 0.500
CELL_PARAMETERS angstrom
3.530 0.000 0.000
0.000 3.530 0.000
0.000 0.000 8.640
! ΔE to the lowest computed polymorph ... 5.07 kJ/mol of atoms
! Formation energy from the elements ... -0.41 eV per atom
! DOS(E_F) ... 1.305 states/eV/atom


[22]
! Cs2MgCuCl5, optimized geometry, DFT PBE-GGA; values from VASP
&SYSTEM
  ibrav = 0, nat = 18, ntyp = 4
/
ATOMIC_SPECIES
Cs 132.91 Cs.upf
Mg 24.30 Mg.upf
Cu 63.55 Cu.upf
Cl 35.45 Cl.upf
ATOMIC_POSITIONS crystal
Cs 0.872 0.745 0.812
Cs 0.124 0.247 0.698
Cs 0.128 0.255 0.312
Cs 0.876 0.753 0.198
Mg 0.793 0.586 0.515
Mg 0.207 0.414 0.015
Cu 0.566 0.132 0.941
Cu 0.434 0.868 0.441
Cl 0.327 0.654 0.005
Cl 0.697 0.394 0.890
Cl 0.508 0.016 0.803
Cl 0.293 0.586 0.636
Cl 0.918 0.836 0.524
Cl 0.673 0.346 0.505
Cl 0.303 0.606 0.390
Cl 0.492 0.984 0.303
Cl 0.707 0.414 0.136
Cl 0.082 0.164 0.024
CELL_PARAMETERS angstrom
-3.541 -0.061 1.919
-1.046 -8.026 -6.414
5.340 -8.359 9.589
! Formation energy from raw total energies ... -1.5824 eV per atom
! DOS(E_F) ... 0.000 states/eV/atom


[23]
! CePrS4, optimized geometry, DFT PBE-GGA; values from VASP
&SYSTEM
  ibrav = 0, nat = 6, ntyp = 3
/
ATOMIC_SPECIES
Ce 140.12 Ce.upf
Pr 140.91 Pr.upf
S 32.06 S.upf
ATOMIC_POSITIONS crystal
Ce 0.000 0.500 0.500
Pr 0.500 0.000 0.000
S 0.000 0.206 0.206
S 0.000 0.794 0.794
S 0.500 0.688 0.312
S 0.500 0.312 0.688
CELL_PARAMETERS angstrom
4.264 0.000 0.000
0.000 6.480 0.044
0.000 -0.083 6.480
! Formation energy from raw total energies ... -1.4496 eV per atom
! DOS(E_F) ... 1.017 states/eV/atom


[24]
! SmPuInPd, optimized geometry, DFT PBE-GGA; values from VASP
&SYSTEM
  ibrav = 0, nat = 4, ntyp = 4
/
ATOMIC_SPECIES
In 114.82 In.upf
Pd 106.42 Pd.upf
Sm 150.36 Sm.upf
Pu 244.00 Pu.upf
ATOMIC_POSITIONS crystal
In 0.500 0.500 0.500
Pd 0.000 0.000 0.000
Sm 0.750 0.750 0.750
Pu 0.250 0.250 0.250
CELL_PARAMETERS angstrom
-5.041 1.241 0.656
-2.689 -2.011 4.013
-1.442 3.070 3.984
! Formation energy from the elements ... -0.32 eV per atom
! DOS(E_F) ... 2.745 states/eV/atom


[25]
! CuAg2F6, optimized geometry, DFT PBE-GGA; values from VASP
&SYSTEM
  ibrav = 0, nat = 18, ntyp = 3
/
ATOMIC_SPECIES
Cu 63.55 Cu.upf
Ag 107.87 Ag.upf
F 19.00 F.upf
ATOMIC_POSITIONS crystal
Cu 0.500 0.500 0.000
Cu 0.000 0.000 0.500
Ag 0.993 0.473 0.807
Ag 0.507 0.973 0.693
Ag 0.493 0.027 0.307
Ag 0.007 0.527 0.193
F 0.845 0.815 0.337
F 0.857 0.772 0.647
F 0.791 0.690 0.985
F 0.709 0.190 0.515
F 0.643 0.272 0.853
F 0.655 0.315 0.163
F 0.155 0.185 0.663
F 0.143 0.228 0.353
F 0.209 0.310 0.015
F 0.291 0.810 0.485
F 0.357 0.728 0.147
F 0.345 0.685 0.837
CELL_PARAMETERS angstrom
-3.190 0.683 -4.665
0.238 -5.197 -0.924
-7.608 -1.229 4.960
! ΔE to the lowest computed polymorph ... 2.19 kJ/mol of atoms
! Formation energy from raw total energies ... -1.2514 eV per atom
! DOS(E_F) ... 0.483 states/eV/atom